{"formula": "NbHBr6", "functional": "PBE-GGA", "state": "optimized geometry", "cell": [[6.8455, 0.0000, 0.0000], [-3.2010, 6.1473, 0.0000], [-1.1468, -2.7198, 6.6367]], "species": ["Nb", "H", "Br", "Br", "Br", "Br", "Br", "Br"], "fractional_positions": [[0.0000, 0.0000, 0.0000], [0.5000, 0.0000, 0.0000], [0.1013, 0.3789, 0.2581], [0.1945, 0.2141, 0.7915], [0.4007, 0.0593, 0.1967], [0.5993, 0.9407, 0.8033], [0.8055, 0.7859, 0.2085], [0.8987, 0.6211, 0.7419]], "dft_energy_ev_per_atom": -3.59, "total_magnetization_mub_per_fu": 0.00, "volume_a3_per_atom": 34.91}